Crystalline In2NiHgCl at its relaxed geometry. Source: Alexandria via LeMat-Bulk, functional GGA-PBE.

Computed properties:
**Theoretical density**: 6.8 g/cm³
**Total DFT energy (no corrections)**: -2.958 eV/atom
**Uncorrected formation energy**: -277 meV per atom

a b c (Å): 5.0318 5.0318 5.0668
angles (deg): 90.00 90.00 90.00
Fractional positions:
Hg: 0.0000 0.0000 0.5000
In: 0.5000 0.0000 0.0000
In: 0.0000 0.5000 0.0000
Ni: 0.0000 0.0000 0.0000
Cl: 0.5000 0.5000 0.5000